[1]
GdHfSc: relaxed, PBE.

Geometry as POSCAR:
```
GdHfSc
1.0
-1.6334 1.6334 7.2734
1.6334 -1.6334 7.2734
1.6334 1.6334 -7.2734
Gd Hf Sc
1 1 1
direct
0.0000 0.0000 0.0000
0.6677 0.6677 0.0000
0.3129 0.3129 0.0000
```

Properties
volume	78	Å³ per cell
energy above the most stable polymorph in this dataset	0.000	eV per atom
calculated total energy	-10.024	eV per atom

[2]
Gd2HfSc: relaxed, PBE.

Geometry as POSCAR:
```
Gd2HfSc
1.0
4.7740 0.0000 0.0000
0.0000 4.7740 0.0000
0.0000 0.0000 4.7182
Gd Hf Sc
2 1 1
direct
0.0000 0.5000 0.0000
0.5000 0.0000 0.0000
0.0000 0.0000 0.5000
0.5000 0.5000 0.5000
```

Properties
volume	108	Å³ per cell
energy above the most stable polymorph in this dataset	0.014	eV per atom
calculated total energy	-10.969	eV per atom

[3]
GdHf2Sc: relaxed, PBE.

Geometry as POSCAR:
```
GdHf2Sc
1.0
4.5845 0.0000 0.0000
0.0000 4.5845 0.0000
0.0000 0.0000 4.6541
Gd Hf Sc
1 2 1
direct
0.0000 0.0000 0.0000
0.0000 0.5000 0.5000
0.5000 0.0000 0.5000
0.5000 0.5000 0.0000
```

Properties
volume	98	Å³ per cell
energy above the most stable polymorph in this dataset	0.000	eV per atom
calculated total energy	-9.938	eV per atom

[4]
Gd2HfSc: relaxed, PBE.

Geometry as POSCAR:
```
Gd2HfSc
1.0
1.6385 0.9460 11.7516
-1.6385 0.9460 11.7516
0.0000 -1.8920 11.7516
Gd Hf Sc
2 1 1
direct
0.0880 0.0880 0.0880
0.9120 0.9120 0.9120
0.0000 0.0000 0.0000
0.5000 0.5000 0.5000
```

Properties
volume	109	Å³ per cell
energy above the most stable polymorph in this dataset	0.212	eV per atom
calculated total energy	-10.771	eV per atom

[5]
Gd2HfSc: relaxed, PBE.

Geometry as POSCAR:
```
Gd2HfSc
1.0
3.3718 0.0000 0.0000
0.0000 3.3718 0.0000
0.0000 0.0000 9.5535
Gd Hf Sc
2 1 1
direct
0.0000 0.0000 0.2404
0.0000 0.0000 0.7596
0.5000 0.5000 0.0000
0.5000 0.5000 0.5000
```

Properties
volume	109	Å³ per cell
energy above the most stable polymorph in this dataset	0.000	eV per atom
calculated total energy	-10.984	eV per atom

[6]
GdHf2Sc: relaxed, PBE.

Geometry as POSCAR:
```
GdHf2Sc
1.0
1.6220 0.9365 10.7372
-1.6220 0.9365 10.7372
0.0000 -1.8730 10.7372
Gd Hf Sc
1 2 1
direct
0.0000 0.0000 0.0000
0.2474 0.2474 0.2474
0.7526 0.7526 0.7526
0.5000 0.5000 0.5000
```

Properties
volume	98	Å³ per cell
energy above the most stable polymorph in this dataset	0.008	eV per atom
calculated total energy	-9.930	eV per atom